Entry from the Alexandria database: a geometry-optimized BaTaCo2 structure (PBE-GGA).

Results
Offset from the most stable computed form = 0.157 eV per atom
Symmetry = No. 6
Calculated formation energy = 423 meV/atom
Total magnetic moment = 0.0000 μB per atom
D(E_F) = 0.898 states/eV per atom

Cell: 3.560 3.707 6.825 Å, 90.00 104.90 90.00°
Atoms (fractional coordinates):
1 Ba 0.000 0.000 0.000
2 Ta 0.263 0.500 0.532
3 Co 0.641 0.500 0.284
4 Co 0.743 0.000 0.493